No. 1
The following is a DFT calculation (GGA-PBE) of La4MgTc after structural relaxation.

CIF file:
```
data_La4MgTc
_chemical_formula_sum 'La8 Mg2 Tc2'
_space_group_name_H-M_alt 'P 1'
_space_group_IT_number 1
_space_group_name_Hall 'P 1'
_cell_length_a 6.8234
_cell_length_b 8.5492
_cell_length_c 8.9337
_cell_angle_alpha 112.74
_cell_angle_beta 105.47
_cell_angle_gamma 103.92
loop_
_atom_site_label
_atom_site_fract_x
_atom_site_fract_y
_atom_site_fract_z
Tc1 0.1576 0.9076 0.8151
La1 0.9520 0.1580 0.8947
La2 0.7149 0.0605 0.4236
Mg1 0.6427 0.3927 0.7853
La3 0.2087 0.3631 0.4236
La4 0.2851 0.9395 0.5764
Tc2 0.8424 0.0924 0.1849
La5 0.5573 0.2633 0.1053
Mg2 0.3573 0.6073 0.2147
La6 0.0480 0.8420 0.1053
La7 0.4427 0.7367 0.8947
La8 0.7913 0.6369 0.5764
```

Values from the calculation:
total energy	-5.217	eV/atom
SG	C2/c (15)
formation enthalpy at 0 K	5.9	kJ per mole of atoms
crystal system	monoclinic
ρ	5.27	g/cm3
energy above the lowest structure with this stoichiometry	0.1190	eV/atom

No. 2
The following is a DFT calculation (GGA-PBE) of LaMg2Tc after structural relaxation.

CIF file:
```
data_LaMg2Tc
_chemical_formula_sum 'La1 Mg2 Tc1'
_space_group_name_H-M_alt 'P 1'
_space_group_IT_number 1
_space_group_name_Hall 'P 1'
_cell_length_a 5.6144
_cell_length_b 5.6144
_cell_length_c 3.1093
_cell_angle_alpha 90.00
_cell_angle_beta 90.00
_cell_angle_gamma 118.26
loop_
_atom_site_label
_atom_site_fract_x
_atom_site_fract_y
_atom_site_fract_z
La1 0.0000 0.5000 0.5000
Mg1 0.0000 0.0000 0.0000
Mg2 0.5000 0.5000 0.0000
Tc1 0.5000 0.0000 0.5000
```

Values from the calculation:
total energy	-4.257	eV/atom
SG	Cmmm (65)
formation enthalpy at 0 K	35.0	kJ per mole of atoms
crystal system	orthorhombic
ρ	5.49	g/cm3
energy above the lowest structure with this stoichiometry	0.2385	eV/atom

No. 3
The following is a DFT calculation (GGA-PBE) of La4MgTc after structural relaxation.

CIF file:
```
data_La4MgTc
_chemical_formula_sum 'La8 Mg2 Tc2'
_space_group_name_H-M_alt 'P 1'
_space_group_IT_number 1
_space_group_name_Hall 'P 1'
_cell_length_a 6.3720
_cell_length_b 8.1859
_cell_length_c 8.1859
_cell_angle_alpha 109.33
_cell_angle_beta 100.70
_cell_angle_gamma 100.70
loop_
_atom_site_label
_atom_site_fract_x
_atom_site_fract_y
_atom_site_fract_z
La1 0.5550 0.2692 0.9465
Mg1 0.7500 0.6212 0.3788
La2 0.1309 0.3711 0.1978
Tc1 0.7500 0.9988 0.0012
La3 0.9450 0.0535 0.7308
Tc2 0.2500 0.0012 0.9988
La4 0.6309 0.1978 0.3711
La5 0.8691 0.6289 0.8022
Mg2 0.2500 0.3788 0.6212
La6 0.4450 0.7308 0.0535
La7 0.0550 0.9465 0.2692
La8 0.3691 0.8022 0.6289
```

Values from the calculation:
total energy	-5.336	eV/atom
SG	C2/c (15)
formation enthalpy at 0 K	-5.6	kJ per mole of atoms
crystal system	monoclinic
ρ	5.90	g/cm3
energy above the lowest structure with this stoichiometry	0.0000	eV/atom

No. 4
The following is a DFT calculation (GGA-PBE) of LaMg2Tc after structural relaxation.

CIF file:
```
data_LaMg2Tc
_chemical_formula_sum 'La1 Mg2 Tc1'
_space_group_name_H-M_alt 'P 1'
_space_group_IT_number 1
_space_group_name_Hall 'P 1'
_cell_length_a 6.0962
_cell_length_b 6.0962
_cell_length_c 6.0962
_cell_angle_alpha 146.45
_cell_angle_beta 133.56
_cell_angle_gamma 58.50
loop_
_atom_site_label
_atom_site_fract_x
_atom_site_fract_y
_atom_site_fract_z
Tc1 0.7500 0.2500 0.5000
La1 0.2500 0.7500 0.5000
Mg1 0.5372 0.5372 0.0000
Mg2 0.9628 0.9628 0.0000
```

Values from the calculation:
total energy	-4.496	eV/atom
SG	Immm (71)
formation enthalpy at 0 K	12.0	kJ per mole of atoms
crystal system	orthorhombic
ρ	5.27	g/cm3
energy above the lowest structure with this stoichiometry	0.0000	eV/atom

No. 5
The following is a DFT calculation (GGA-PBE) of LaMg2Tc after structural relaxation.

CIF file:
```
data_LaMg2Tc
_chemical_formula_sum 'La1 Mg2 Tc1'
_space_group_name_H-M_alt 'P 1'
_space_group_IT_number 1
_space_group_name_Hall 'P 1'
_cell_length_a 3.6587
_cell_length_b 4.5089
_cell_length_c 5.3197
_cell_angle_alpha 90.00
_cell_angle_beta 90.00
_cell_angle_gamma 90.00
loop_
_atom_site_label
_atom_site_fract_x
_atom_site_fract_y
_atom_site_fract_z
Mg1 0.5000 0.5000 0.0000
La1 0.0000 0.5000 0.5000
Tc1 0.5000 0.0000 0.5000
Mg2 0.0000 0.0000 0.0000
```

Values from the calculation:
total energy	-4.379	eV/atom
SG	Pmmm (47)
formation enthalpy at 0 K	23.3	kJ per mole of atoms
crystal system	orthorhombic
ρ	5.40	g/cm3
energy above the lowest structure with this stoichiometry	0.1170	eV/atom

No. 6
The following is a DFT calculation (GGA-PBE) of La2MgTc after structural relaxation.

CIF file:
```
data_La2MgTc
_chemical_formula_sum 'La2 Mg1 Tc1'
_space_group_name_H-M_alt 'P 1'
_space_group_IT_number 1
_space_group_name_Hall 'P 1'
_cell_length_a 3.7296
_cell_length_b 3.7296
_cell_length_c 7.6246
_cell_angle_alpha 90.00
_cell_angle_beta 90.00
_cell_angle_gamma 90.00
loop_
_atom_site_label
_atom_site_fract_x
_atom_site_fract_y
_atom_site_fract_z
Mg1 0.0000 0.0000 0.5567
La1 0.0000 0.0000 0.9440
La2 0.5000 0.5000 0.3241
Tc1 0.5000 0.5000 0.6753
```

Values from the calculation:
total energy	-5.270	eV/atom
SG	P4mm (99)
formation enthalpy at 0 K	17.8	kJ per mole of atoms
crystal system	tetragonal
ρ	6.26	g/cm3

No. 7
The following is a DFT calculation (GGA-PBE) of LaMg2Tc after structural relaxation.

CIF file:
```
data_LaMg2Tc
_chemical_formula_sum 'La1 Mg2 Tc1'
_space_group_name_H-M_alt 'P 1'
_space_group_IT_number 1
_space_group_name_Hall 'P 1'
_cell_length_a 6.1585
_cell_length_b 6.1585
_cell_length_c 6.1585
_cell_angle_alpha 148.97
_cell_angle_beta 128.42
_cell_angle_gamma 61.43
loop_
_atom_site_label
_atom_site_fract_x
_atom_site_fract_y
_atom_site_fract_z
Tc1 0.4996 0.4996 0.0000
La1 0.3006 0.8006 0.5000
Mg1 0.7016 0.2016 0.5000
Mg2 0.9982 0.9982 0.0000
```

Values from the calculation:
total energy	-4.367	eV/atom
SG	Imm2 (44)
formation enthalpy at 0 K	24.5	kJ per mole of atoms
crystal system	orthorhombic
ρ	5.07	g/cm3
energy above the lowest structure with this stoichiometry	0.1289	eV/atom

No. 8
The following is a DFT calculation (GGA-PBE) of LaMgTc after structural relaxation.

CIF file:
```
data_LaMgTc
_chemical_formula_sum 'La2 Mg2 Tc2'
_space_group_name_H-M_alt 'P 1'
_space_group_IT_number 1
_space_group_name_Hall 'P 1'
_cell_length_a 4.3749
_cell_length_b 5.4762
_cell_length_c 6.9882
_cell_angle_alpha 101.90
_cell_angle_beta 108.24
_cell_angle_gamma 90.00
loop_
_atom_site_label
_atom_site_fract_x
_atom_site_fract_y
_atom_site_fract_z
Mg1 0.5786 0.7907 0.1573
La1 0.8691 0.6783 0.7383
La2 0.1309 0.3217 0.2617
Tc1 0.7778 0.0952 0.5557
Tc2 0.2222 0.9048 0.4443
Mg2 0.4214 0.2093 0.8427
```

Values from the calculation:
total energy	-5.606	eV/atom
SG	C2/m (12)
formation enthalpy at 0 K	2.3	kJ per mole of atoms
crystal system	monoclinic
ρ	5.59	g/cm3
energy above the lowest structure with this stoichiometry	0.0000	eV/atom

No. 9
The following is a DFT calculation (GGA-PBE) of LaMg2Tc after structural relaxation.

CIF file:
```
data_LaMg2Tc
_chemical_formula_sum 'La1 Mg2 Tc1'
_space_group_name_H-M_alt 'P 1'
_space_group_IT_number 1
_space_group_name_Hall 'P 1'
_cell_length_a 3.2248
_cell_length_b 3.2248
_cell_length_c 8.6416
_cell_angle_alpha 90.00
_cell_angle_beta 90.00
_cell_angle_gamma 90.00
loop_
_atom_site_label
_atom_site_fract_x
_atom_site_fract_y
_atom_site_fract_z
Mg1 0.0000 0.0000 0.0605
Mg2 0.0000 0.0000 0.4395
La1 0.5000 0.5000 0.7500
Tc1 0.5000 0.5000 0.2500
```

Values from the calculation:
total energy	-4.359	eV/atom
SG	P4/mmm (123)
formation enthalpy at 0 K	25.2	kJ per mole of atoms
crystal system	tetragonal
ρ	5.28	g/cm3
energy above the lowest structure with this stoichiometry	0.1366	eV/atom

No. 10
The following is a DFT calculation (GGA-PBE) of LaMg2Tc after structural relaxation.

CIF file:
```
data_LaMg2Tc
_chemical_formula_sum 'La1 Mg2 Tc1'
_space_group_name_H-M_alt 'P 1'
_space_group_IT_number 1
_space_group_name_Hall 'P 1'
_cell_length_a 10.7907
_cell_length_b 10.7907
_cell_length_c 10.7907
_cell_angle_alpha 16.38
_cell_angle_beta 16.38
_cell_angle_gamma 16.38
loop_
_atom_site_label
_atom_site_fract_x
_atom_site_fract_y
_atom_site_fract_z
Tc1 0.2500 0.2500 0.2500
Mg1 0.9856 0.9856 0.9856
La1 0.7500 0.7500 0.7500
Mg2 0.5144 0.5144 0.5144
```

Values from the calculation:
total energy	-4.256	eV/atom
SG	R-3m (166)
formation enthalpy at 0 K	35.1	kJ per mole of atoms
crystal system	trigonal
ρ	5.44	g/cm3
energy above the lowest structure with this stoichiometry	0.2395	eV/atom